Arrangement a

Compound: TaCd3Au
Source: Alexandria via LeMat-Bulk
Functional: PBE-GGA
Structure: relaxed

abc: 5.151 5.151 5.151
angles: 90.00 90.00 90.00
Space group Pm-3m (No. 221)
Unique sites:
Ta: 0.000 0.000 0.000 x1
Cd: 0.000 0.500 0.500 x3
Au: 0.500 0.500 0.500 x1

Summary:
Size of the total moment (Bohr magnetons per cell): 3.24



Arrangement b

Compound: TaCd3Au
Source: Alexandria via LeMat-Bulk
Functional: PBE-GGA
Structure: relaxed

abc: 5.446 5.446 5.446
angles: 90.00 90.00 90.00
Space group Pm-3m (No. 221)
Unique sites:
Ta: 0.000 0.000 0.000 x1
Cd: 0.000 0.000 0.500 x3
Au: 0.500 0.500 0.500 x1

Summary:
Size of the total moment (Bohr magnetons per cell): 2.27



Q: What are the energies relative to the best structure? A: arrangement a 0; arrangement b 221, in meV per atom.



Arrangement a

Compound: Tb4CdAu
Source: Alexandria via LeMat-Bulk
Functional: PBE-GGA
Structure: relaxed

abc: 13.896 13.896 13.896
angles: 90.00 90.00 90.00
Space group F-43m (No. 216)
Unique sites:
Tb: 0.000 0.000 0.184 x24
Tb: 0.061 0.250 0.250 x24
Tb: 0.108 0.108 0.608 x16
Cd: 0.168 0.168 0.832 x16
Au: 0.104 0.104 0.396 x16

Summary:
Size of the total moment (Bohr magnetons per cell): 0.00



Arrangement b

Compound: Tb4CdAu
Source: Alexandria via LeMat-Bulk
Functional: PBE-GGA
Structure: relaxed

abc: 6.289 9.029 6.157
angles: 90.00 106.04 90.00
Space group P2_1/c (No. 14)
Unique sites:
Tb: 0.106 0.166 0.117 x4
Tb: 0.382 0.658 0.910 x4
Cd: 0.500 0.000 0.000 x2
Au: 0.000 0.000 0.500 x2

Summary:
Size of the total moment (Bohr magnetons per cell): 0.00



Q: What are the energies relative to the best structure? A: arrangement a 0; arrangement b 189, in meV per atom.



Arrangement a

Compound: Tb2CdAu6
Source: Alexandria via LeMat-Bulk
Functional: PBE-GGA
Structure: relaxed

abc: 7.173 13.332 4.057
angles: 90.00 90.00 90.00
Space group Cmmm (No. 65)
Unique sites:
Tb: 0.000 0.208 0.000 x4
Cd: 0.000 0.000 0.500 x2
Au: 0.198 0.352 0.500 x8
Au: 0.204 0.500 0.000 x4

Summary:
Size of the total moment (Bohr magnetons per cell): 0.00



Arrangement b

Compound: Tb2CdAu6
Source: Alexandria via LeMat-Bulk
Functional: PBE-GGA
Structure: relaxed

abc: 5.234 15.875 5.212
angles: 90.00 119.86 90.00
Space group C2/m (No. 12)
Unique sites:
Tb: 0.000 0.160 0.000 x4
Cd: 0.000 0.000 0.500 x2
Au: 0.151 0.500 0.820 x4
Au: 0.164 0.329 0.327 x8

Summary:
Size of the total moment (Bohr magnetons per cell): 0.00



Q: What are the energies relative to the best structure? A: arrangement a 38; arrangement b 0, in meV per atom.



Arrangement a

Compound: TbCd2Au2
Source: Alexandria via LeMat-Bulk
Functional: PBE-GGA
Structure: relaxed

abc: 4.879 4.849 10.035
angles: 90.00 93.24 90.00
Space group P2_1/m (No. 11)
Unique sites:
Tb: 0.229 0.250 0.324 x2
Cd: 0.260 0.250 0.679 x2
Cd: 0.280 0.250 0.991 x2
Au: 0.231 0.750 0.155 x2
Au: 0.253 0.750 0.511 x2

Summary:
Size of the total moment (Bohr magnetons per cell): 0.00



Arrangement b

Compound: TbCd2Au2
Source: Alexandria via LeMat-Bulk
Functional: PBE-GGA
Structure: relaxed

abc: 4.879 3.484 13.042
angles: 90.00 90.64 90.00
Space group P2_1/m (No. 11)
Unique sites:
Tb: 0.243 0.250 0.251 x2
Cd: 0.250 0.750 0.472 x2
Cd: 0.262 0.250 0.864 x2
Au: 0.237 0.750 0.047 x2
Au: 0.254 0.250 0.653 x2

Summary:
Size of the total moment (Bohr magnetons per cell): 0.00



Q: What are the energies relative to the best structure? A: arrangement a 0; arrangement b 56, in meV per atom.



Arrangement a

Compound: Tb3CdAu
Source: Alexandria via LeMat-Bulk
Functional: PBE-GGA
Structure: relaxed

abc: 9.947 15.940 3.789
angles: 90.00 90.00 90.00
Space group Cmmm (No. 65)
Unique sites:
Tb: 0.000 0.161 0.000 x4
Tb: 0.198 0.389 0.500 x8
Cd: 0.000 0.000 0.500 x2
Cd: 0.000 0.500 0.000 x2
Au: 0.250 0.250 0.000 x4

Summary:
Size of the total moment (Bohr magnetons per cell): 0.00



Arrangement b

Compound: Tb3CdAu
Source: Alexandria via LeMat-Bulk
Functional: PBE-GGA
Structure: relaxed

abc: 5.201 19.677 5.188
angles: 90.00 90.00 90.00
Space group Cmcm (No. 63)
Unique sites:
Tb: 0.000 0.061 0.250 x4
Tb: 0.000 0.249 0.250 x4
Tb: 0.000 0.435 0.250 x4
Cd: 0.000 0.154 0.750 x4
Au: 0.000 0.337 0.750 x4

Summary:
Size of the total moment (Bohr magnetons per cell): 0.00



Q: What are the energies relative to the best structure? A: arrangement a 155; arrangement b 0, in meV per atom.